(i)
KS2 (PBE, optimized geometry); total magnetization = 0.99 μB/f.u.; V = 90.3 Å³ per cell; calculated density = 1.90 g cm⁻³; space-group type = C2/m
1.0
4.486 0.000 0.009
0.000 4.486 0.009
-2.235 -2.235 4.479
K S
1 2
Cartesian
2.243 2.243 0.009 K
-0.002 -0.002 1.006 S
2.252 2.252 3.491 S

(ii)
KS2 (PBE, optimized geometry); total magnetization = 0.00 μB/f.u.; V = 301.3 Å³ per cell; calculated density = 2.28 g cm⁻³; space-group type = Pnma
1.0
-0.723 2.626 2.736
-3.681 -4.587 3.428
9.402 -3.312 5.664
K S
4 8
Cartesian
-2.300 -2.397 5.778 K
3.480 -4.473 6.574 K
1.518 -0.800 5.255 K
7.298 -2.876 6.051 K
4.441 -1.255 6.464 S
0.099 -0.915 2.266 S
4.898 -4.358 9.563 S
0.557 -4.018 5.365 S
-1.594 0.019 3.646 S
4.532 -1.625 4.119 S
0.465 -3.649 7.710 S
6.592 -5.292 8.182 S

From most stable to least stable, the computed energies give (i), (ii).

(i)
K2S3 (PBE, optimized geometry); total magnetization = 0.00 μB/f.u.; V = 305.0 Å³ per cell; calculated density = 1.90 g cm⁻³; space-group type = Fdd2
1.0
-2.527 -2.234 -3.267
4.211 -5.850 -2.632
-4.693 -6.406 4.635
K S
4 6
Cartesian
-1.395 -11.866 -1.608 K
-2.121 -3.070 -0.310 K
-1.122 -6.870 -3.547 K
-3.657 -9.184 -0.004 K
1.942 -5.668 -3.366 S
-4.195 -8.153 3.080 S
-0.567 -8.730 -1.019 S
-2.950 -6.208 -0.901 S
-0.250 -0.221 -0.323 S
-1.123 -6.907 -0.138 S

(ii)
K2S3 (PBE, optimized geometry); total magnetization = 0.00 μB/f.u.; V = 283.7 Å³ per cell; calculated density = 2.04 g cm⁻³; space-group type = Cmc2_1
1.0
6.287 -0.003 0.000
-2.013 5.956 0.000
0.000 0.000 7.576
K S
4 6
Cartesian
1.453 3.468 1.189 K
2.821 2.485 4.977 K
5.410 0.627 6.719 K
-1.136 5.326 2.931 K
2.287 0.435 0.004 S
1.988 5.518 3.792 S
4.593 3.647 0.004 S
-0.319 2.306 3.792 S
4.627 1.188 2.621 S
-0.353 4.765 6.409 S

From most stable to least stable, the computed energies give (ii), (i).